1.
Computed, not measured: AlSe2IN after structural relaxation at the PBE level of DFT.

Structure (CIF):
```
data_AlSe2IN
_chemical_formula_sum 'Al1 Se2 I1 N1'
_cell_length_a 5.511
_cell_length_b 5.511
_cell_length_c 3.954
_cell_angle_alpha 90.00
_cell_angle_beta 90.00
_cell_angle_gamma 90.00
_symmetry_space_group_name_H-M 'P 4/m m m'
_symmetry_Int_Tables_number 123
_symmetry_space_group_name_Hall '-P 4 2'
loop_
_atom_site_label
_atom_site_fract_x
_atom_site_fract_y
_atom_site_fract_z
_atom_site_occupancy
Al1 0.000 0.000 0.000 1
Se1 0.000 0.500 0.500 1
I1 0.500 0.500 0.500 1
N1 0.500 0.500 0.000 1
```

formation energy without anion corrections: 1197 meV/atom
E above lowest polymorph: 3.89 eV/f.u.
VASP energy: -2.921 eV per atom

***

2.
Computed, not measured: AlSeI2N after structural relaxation at the PBE level of DFT.

Structure (CIF):
```
data_AlSeI2N
_chemical_formula_sum 'Al1 Se1 I2 N1'
_cell_length_a 5.812
_cell_length_b 5.812
_cell_length_c 3.522
_cell_angle_alpha 90.00
_cell_angle_beta 90.00
_cell_angle_gamma 90.00
_symmetry_space_group_name_H-M 'P 4/m m m'
_symmetry_Int_Tables_number 123
_symmetry_space_group_name_Hall '-P 4 2'
loop_
_atom_site_label
_atom_site_fract_x
_atom_site_fract_y
_atom_site_fract_z
_atom_site_occupancy
Al1 0.000 0.000 0.000 1
Se1 0.500 0.500 0.500 1
I1 0.000 0.500 0.000 1
N1 0.000 0.000 0.500 1
```

formation energy without anion corrections: 439 meV/atom
E above lowest polymorph: 0.00 eV/f.u.
VASP energy: -3.292 eV per atom

***

3.
Computed, not measured: AlSiI2N after structural relaxation at the PBE level of DFT.

Structure (CIF):
```
data_AlSiI2N
_chemical_formula_sum 'Al1 Si1 I2 N1'
_cell_length_a 6.024
_cell_length_b 6.024
_cell_length_c 3.356
_cell_angle_alpha 90.00
_cell_angle_beta 90.00
_cell_angle_gamma 90.00
_symmetry_space_group_name_H-M 'P 4/m m m'
_symmetry_Int_Tables_number 123
_symmetry_space_group_name_Hall '-P 4 2'
loop_
_atom_site_label
_atom_site_fract_x
_atom_site_fract_y
_atom_site_fract_z
_atom_site_occupancy
Al1 0.000 0.000 0.000 1
Si1 0.500 0.500 0.500 1
I1 0.000 0.500 0.500 1
N1 0.500 0.500 0.000 1
```

formation energy without anion corrections: 284 meV/atom
E above lowest polymorph: 0.00 eV/f.u.
VASP energy: -3.834 eV per atom

***

4.
Computed, not measured: AlSiIN2 after structural relaxation at the PBE level of DFT.

Structure (CIF):
```
data_AlSiIN2
_chemical_formula_sum 'Al1 Si1 I1 N2'
_cell_length_a 4.005
_cell_length_b 4.005
_cell_length_c 5.411
_cell_angle_alpha 90.00
_cell_angle_beta 90.00
_cell_angle_gamma 90.00
_symmetry_space_group_name_H-M 'P 4/m m m'
_symmetry_Int_Tables_number 123
_symmetry_space_group_name_Hall '-P 4 2'
loop_
_atom_site_label
_atom_site_fract_x
_atom_site_fract_y
_atom_site_fract_z
_atom_site_occupancy
Al1 0.000 0.000 0.000 1
Si1 0.500 0.500 0.000 1
I1 0.500 0.500 0.500 1
N1 0.000 0.500 0.500 1
```

formation energy without anion corrections: 1919 meV/atom
E above lowest polymorph: 5.12 eV/f.u.
VASP energy: -3.554 eV per atom

***

5.
Computed, not measured: AlSiI2N after structural relaxation at the PBE level of DFT.

Structure (CIF):
```
data_AlSiI2N
_chemical_formula_sum 'Al1 Si1 I2 N1'
_cell_length_a 5.718
_cell_length_b 5.718
_cell_length_c 3.567
_cell_angle_alpha 90.00
_cell_angle_beta 90.00
_cell_angle_gamma 90.00
_symmetry_space_group_name_H-M 'P 4/m m m'
_symmetry_Int_Tables_number 123
_symmetry_space_group_name_Hall '-P 4 2'
loop_
_atom_site_label
_atom_site_fract_x
_atom_site_fract_y
_atom_site_fract_z
_atom_site_occupancy
Al1 0.000 0.000 0.000 1
Si1 0.500 0.500 0.500 1
I1 0.000 0.500 0.000 1
N1 0.000 0.000 0.500 1
```

formation energy without anion corrections: 474 meV/atom
E above lowest polymorph: 0.95 eV/f.u.
VASP energy: -3.644 eV per atom

***

6.
Computed, not measured: AlSiIN2 after structural relaxation at the PBE level of DFT.

Structure (CIF):
```
data_AlSiIN2
_chemical_formula_sum 'Al1 Si1 I1 N2'
_cell_length_a 3.847
_cell_length_b 3.847
_cell_length_c 5.803
_cell_angle_alpha 90.00
_cell_angle_beta 90.00
_cell_angle_gamma 90.00
_symmetry_space_group_name_H-M 'P 4/m m m'
_symmetry_Int_Tables_number 123
_symmetry_space_group_name_Hall '-P 4 2'
loop_
_atom_site_label
_atom_site_fract_x
_atom_site_fract_y
_atom_site_fract_z
_atom_site_occupancy
Al1 0.000 0.000 0.000 1
Si1 0.500 0.500 0.500 1
I1 0.000 0.000 0.500 1
N1 0.000 0.500 0.000 1
```

formation energy without anion corrections: 1069 meV/atom
E above lowest polymorph: 0.87 eV/f.u.
VASP energy: -4.404 eV per atom

***

7.
Computed, not measured: AlSiIN2 after structural relaxation at the PBE level of DFT.

Structure (CIF):
```
data_AlSiIN2
_chemical_formula_sum 'Al1 Si1 I1 N2'
_cell_length_a 3.704
_cell_length_b 3.704
_cell_length_c 5.968
_cell_angle_alpha 90.00
_cell_angle_beta 90.00
_cell_angle_gamma 90.00
_symmetry_space_group_name_H-M 'P 4/m m m'
_symmetry_Int_Tables_number 123
_symmetry_space_group_name_Hall '-P 4 2'
loop_
_atom_site_label
_atom_site_fract_x
_atom_site_fract_y
_atom_site_fract_z
_atom_site_occupancy
Al1 0.000 0.000 0.000 1
Si1 0.500 0.500 0.500 1
I1 0.500 0.500 0.000 1
N1 0.000 0.500 0.500 1
```

formation energy without anion corrections: 895 meV/atom
E above lowest polymorph: 0.00 eV/f.u.
VASP energy: -4.578 eV per atom

***

8.
Computed, not measured: AlSnI2N after structural relaxation at the PBE level of DFT.

Structure (CIF):
```
data_AlSnI2N
_chemical_formula_sum 'Al1 Sn1 I2 N1'
_cell_length_a 5.942
_cell_length_b 5.942
_cell_length_c 3.588
_cell_angle_alpha 90.00
_cell_angle_beta 90.00
_cell_angle_gamma 90.00
_symmetry_space_group_name_H-M 'P 4/m m m'
_symmetry_Int_Tables_number 123
_symmetry_space_group_name_Hall '-P 4 2'
loop_
_atom_site_label
_atom_site_fract_x
_atom_site_fract_y
_atom_site_fract_z
_atom_site_occupancy
Al1 0.000 0.000 0.000 1
Sn1 0.500 0.500 0.500 1
I1 0.000 0.500 0.000 1
N1 0.000 0.000 0.500 1
```

formation energy without anion corrections: 79 meV/atom
E above lowest polymorph: 0.00 eV/f.u.
VASP energy: -3.755 eV per atom